No. 1
Li3MnSiBO7, single point on PBEsol structure, DFT SCAN; formation energy without anion corrections = -2.52 eV/atom; total magnetization = 2.99 μB/f.u.
1.0
4.9963 0.0000 0.0000
0.0000 6.1818 0.0000
-0.8038 0.0000 8.1724
Li Mn Si B O
6 2 2 2 14
Direct
0.2370 0.2500 0.1035
0.2511 0.0025 0.7534
0.2511 0.4975 0.7534
0.7489 0.5025 0.2466
0.7489 0.9975 0.2466
0.7630 0.7500 0.8965
0.2038 0.7500 0.3168
0.7962 0.2500 0.6832
0.2727 0.2500 0.4282
0.7273 0.7500 0.5718
0.2927 0.7500 0.0390
0.7073 0.2500 0.9610
0.0335 0.7500 0.0896
0.1288 0.2500 0.5964
0.1811 0.0521 0.3018
0.1811 0.4479 0.3018
0.3623 0.7500 0.8855
0.4007 0.7500 0.5211
0.4825 0.7500 0.1770
0.5175 0.2500 0.8230
0.5993 0.2500 0.4789
0.6377 0.2500 0.1145
0.8189 0.5521 0.6982
0.8189 0.9479 0.6982
0.8712 0.7500 0.4036
0.9665 0.2500 0.9104

=====

No. 2
LiB2Mo, single point on PBEsol structure, DFT SCAN; E_form = 2.29 eV per formula unit; total magnetization = 0.00 μB/f.u.
1.0
-2.8297 2.8297 2.4241
2.8297 -2.8297 2.4241
2.8297 2.8297 -2.4241
Li B Mo
2 4 2
Direct
0.0000 0.0000 0.0000
0.7500 0.2500 0.5000
0.1041 0.6250 0.9791
0.3750 0.3541 0.4791
0.6459 0.1250 0.0209
0.8750 0.8959 0.5209
0.2500 0.7500 0.5000
0.5000 0.5000 0.0000

=====

No. 3
Li2BMoSe, single point on PBEsol structure, DFT SCAN; formation energy without anion corrections = 0.90 eV/atom; total magnetization = 3.04 μB/f.u.
1.0
3.9947 0.0000 0.0000
0.0000 3.9947 0.0000
0.0000 0.0000 4.3924
Li B Mo Se
2 1 1 1
Direct
0.0000 0.5000 0.0000
0.5000 0.0000 0.0000
0.0000 0.0000 0.0000
0.5000 0.5000 0.5000
0.0000 0.0000 0.5000

=====

No. 4
LiSnBMo2, single point on PBEsol structure, DFT SCAN; E_form = 6.65 eV per formula unit; total magnetization = 0.00 μB/f.u.
1.0
4.4085 0.0000 0.0000
0.0000 4.4085 0.0000
0.0000 0.0000 3.5458
Li Sn B Mo
1 1 1 2
Direct
0.0000 0.0000 0.0000
0.5000 0.5000 0.5000
0.0000 0.0000 0.5000
0.0000 0.5000 0.0000
0.5000 0.0000 0.0000

=====

No. 5
LiBN3, single point on PBEsol structure, DFT SCAN; formation energy without anion corrections = 1.28 eV/atom; total magnetization = 0.01 μB/f.u.
1.0
3.3242 0.0000 0.0000
0.0000 3.3242 0.0000
0.0000 0.0000 3.3242
Li B N
1 1 3
Direct
0.0000 0.0000 0.0000
0.5000 0.5000 0.5000
0.0000 0.5000 0.5000
0.5000 0.0000 0.5000
0.5000 0.5000 0.0000

=====

No. 6
LiBRhN2, single point on PBEsol structure, DFT SCAN; formation energy without anion corrections = 1.94 eV/atom; total magnetization = 0.00 μB/f.u.
1.0
3.3699 0.0000 0.0000
0.0000 3.3699 0.0000
0.0000 0.0000 3.9097
Li B Rh N
1 1 1 2
Direct
0.0000 0.0000 0.0000
0.0000 0.0000 0.5000
0.5000 0.5000 0.5000
0.0000 0.5000 0.0000
0.5000 0.0000 0.0000

=====

No. 7
NaLiB3, single point on PBEsol structure, DFT SCAN; E_form = 13.02 eV per formula unit; total magnetization = 0.00 μB/f.u.
1.0
4.4328 0.0000 0.0000
0.0000 4.4328 0.0000
0.0000 0.0000 4.4328
Na Li B
1 1 3
Direct
0.0000 0.0000 0.0000
0.5000 0.5000 0.5000
0.0000 0.0000 0.5000
0.0000 0.5000 0.0000
0.5000 0.0000 0.0000

=====

No. 8
NaLi2BP2O8, single point on PBEsol structure, DFT SCAN; formation energy without anion corrections = -2.59 eV/atom; total magnetization = 0.00 μB/f.u.
1.0
5.4321 0.0000 0.0000
0.3370 7.3782 0.0000
2.6251 1.7137 7.3542
Na Li B P O
2 4 2 4 16
Direct
0.2468 0.1183 0.2421
0.7532 0.8817 0.7579
0.1906 0.4994 0.3567
0.3549 0.4687 0.9040
0.6451 0.5313 0.0960
0.8094 0.5006 0.6433
0.2486 0.0476 0.7336
0.7514 0.9524 0.2664
0.1222 0.7727 0.0459
0.3542 0.7499 0.5548
0.6458 0.2501 0.4452
0.8778 0.2273 0.9541
0.0033 0.8607 0.2174
0.0868 0.2868 0.0175
0.1434 0.6237 0.5551
0.2235 0.9353 0.6074
0.3016 0.6210 0.0955
0.3030 0.9335 0.8937
0.4672 0.1831 0.6490
0.4868 0.3351 0.3231
0.5132 0.6649 0.6769
0.5328 0.8169 0.3510
0.6970 0.0665 0.1063
0.6984 0.3790 0.9045
0.7765 0.0647 0.3926
0.8566 0.3763 0.4449
0.9132 0.7132 0.9825
0.9967 0.1393 0.7826

=====

| no. | mass density (g cm⁻³) |
| --- | --- |
| 1 | 3.0 |
| 2 | 5.3 |
| 3 | 4.7 |
| 4 | 7.9 |
| 5 | 2.7 |
| 6 | 5.6 |
| 7 | 1.2 |
| 8 | 2.7 |